The following is a GGA+U calculation of a geometry-optimized TiZnWO6 structure, from Alexandria via LeMat-Bulk.

extended XYZ file:
```
18
Lattice="5.1144 0.0000 0.0000 -2.5572 4.4292 0.0000 0.0000 0.0000 9.0886" Properties=species:S:1:pos:R:3 pbc="T T T"
Ti 0.0000 2.9528 2.2722
Ti 2.5572 1.4764 6.8165
Zn 0.0000 0.0000 0.0000
Zn 0.0000 0.0000 4.5443
W 0.0000 2.9528 6.8165
W 2.5572 1.4764 2.2722
O -0.8891 1.5727 5.7620
O -1.6397 2.8728 7.8709
O 0.8891 1.5727 7.8709
O -0.7506 4.4128 5.7620
O 1.8066 0.0163 1.2177
O 0.9175 1.5564 3.3266
O 1.6397 2.8728 5.7620
O 0.7506 4.4128 7.8709
O 3.3078 0.0163 3.3266
O 1.6680 2.8564 1.2177
O 4.1969 1.5564 1.2177
O 3.4463 2.8564 3.3266
```

- calculated volume (Å³/atom) = 11.44
- VASP energy (eV per atom) = -7.2779
- SG = No. 163